The following is a DFT calculation (GGA-PBEsol) of a relaxed LiFe3Hg crystal.

Unit cell a=4.8397 b=4.8397 c=4.8397 alpha=90.00 beta=90.00 gamma=90.00
Closest atoms and distances in Å follow each position.
Fractional positions:
Li1 0.5000 0.5000 0.5000  12 Fe 3.42
Hg1 0.0000 0.0000 0.0000  6 Fe 2.42
Fe1 0.5000 0.0000 0.0000  2 Hg 2.42
Fe2 0.0000 0.0000 0.5000  2 Hg 2.42
Fe3 0.0000 0.5000 0.0000  2 Hg 2.42

Formation energy in meV per atom: 1565
Total moment in μB/cell: 9.28
Calculated volume in A^3/atom: 22.7
D(E_F) in states/eV/cell: 9.22
Crystal system: cubic
Density in Mg/m³: 5.5
E_tot in eV per atom: -4.32